[1]
{
  "formula": "TePIO2",
  "functional": "PBEsol",
  "state": "relaxed",
  "lattice_angstrom": [[-0.765, 1.583, -3.500], [-3.805, 0.174, 0.910], [0.775, 5.300, 2.227]],
  "species": ["I", "P", "Te", "O", "O"],
  "frac_coords": [[0.000, 0.000, 0.500], [0.000, 0.000, 0.000], [0.500, 0.500, 0.500], [0.000, 0.500, 0.000], [0.500, 0.000, 0.000]],
  "dos_ef_per_ev_cell": 3.326,
  "polymorph_energy_mev_per_atom": 98,
  "formation_energy_uncorrected_ev_per_atom": 0.18,
  "crystal_system": "tetragonal"
}

[2]
{
  "formula": "TiPIO2",
  "functional": "PBEsol",
  "state": "relaxed",
  "lattice_angstrom": [[-1.550, 0.664, 3.387], [0.369, -3.660, 0.887], [5.598, 1.131, 2.340]],
  "species": ["I", "P", "O", "O", "Ti"],
  "frac_coords": [[0.000, 0.000, 0.500], [0.500, 0.500, 0.500], [0.000, 0.500, 0.000], [0.500, 0.000, 0.000], [0.000, 0.000, 0.000]],
  "dos_ef_per_ev_cell": 3.013,
  "formation_energy_uncorrected_ev_per_atom": -0.94,
  "crystal_system": "tetragonal"
}